Record 1
Computed, not measured: a geometry-optimized Cr7Si6 structure at the PBE-GGA level of DFT.

Cell and atoms, written as POSCAR:
```
Cr7Si6
1.0
8.507 0.004 0.002
7.142 4.622 0.002
7.142 2.111 4.112
Cr Si
7 6
direct
0.920 0.411 0.411 Cr
0.411 0.411 0.920 Cr
0.411 0.920 0.411 Cr
0.080 0.589 0.589 Cr
0.589 0.080 0.589 Cr
0.589 0.589 0.080 Cr
0.500 0.500 0.500 Cr
0.951 0.951 0.951 Si
0.049 0.049 0.049 Si
0.846 0.846 0.846 Si
0.154 0.154 0.154 Si
0.666 0.666 0.666 Si
0.334 0.334 0.334 Si
```

Properties
Volume = 12.4 Å³/atom
ΔE_f (raw) = -0.3 eV per formula unit

Record 2
Computed, not measured: a geometry-optimized Cr4Si3 structure at the PBE-GGA level of DFT.

Cell and atoms, written as POSCAR:
```
Cr4Si3
1.0
2.332 -4.040 0.000
2.332 4.040 0.000
0.000 0.000 4.378
Cr Si
4 3
direct
0.000 0.000 0.249 Cr
0.000 0.000 0.751 Cr
0.667 0.333 0.500 Cr
0.333 0.667 0.500 Cr
0.000 0.500 0.000 Si
0.500 0.500 0.000 Si
0.500 0.000 0.000 Si
```

Properties
Volume = 11.8 Å³/atom
ΔE_f (raw) = -0.1 eV per formula unit

Record 3
Computed, not measured: a geometry-optimized CrSi structure at the PBE-GGA level of DFT.

Cell and atoms, written as POSCAR:
```
CrSi
1.0
8.346 0.000 0.000
0.000 8.346 0.000
0.000 0.000 3.990
Cr Si
8 8
direct
0.911 0.395 0.500 Cr
0.089 0.605 0.500 Cr
0.605 0.911 0.500 Cr
0.395 0.089 0.500 Cr
0.941 0.620 0.000 Cr
0.059 0.380 0.000 Cr
0.380 0.941 0.000 Cr
0.620 0.059 0.000 Cr
0.765 0.651 0.500 Si
0.235 0.349 0.500 Si
0.349 0.765 0.500 Si
0.651 0.235 0.500 Si
0.844 0.217 0.000 Si
0.156 0.783 0.000 Si
0.783 0.844 0.000 Si
0.217 0.156 0.000 Si
```

Properties
Volume = 17.4 Å³/atom
ΔE_f (raw) = 0.5 eV per formula unit

Record 4
Computed, not measured: a geometry-optimized Cr3Si structure at the PBE-GGA level of DFT.

Cell and atoms, written as POSCAR:
```
Cr3Si
1.0
4.057 0.000 0.000
2.029 3.514 0.000
2.029 1.171 3.313
Cr Si
3 1
direct
0.000 0.000 0.000 Cr
0.250 0.250 0.250 Cr
0.500 0.500 0.500 Cr
0.750 0.750 0.750 Si
```

Properties
Volume = 11.8 Å³/atom
Energy above the lowest structure with this stoichiometry = 0.183 eV per atom
ΔE_f (raw) = -0.7 eV per formula unit

Record 5
Computed, not measured: a geometry-optimized CrSi3 structure at the PBE-GGA level of DFT.

Cell and atoms, written as POSCAR:
```
CrSi3
1.0
4.877 0.000 0.000
0.000 5.686 0.000
0.000 0.000 7.610
Cr Si
4 12
direct
0.620 0.854 0.750 Cr
0.120 0.646 0.250 Cr
0.880 0.354 0.750 Cr
0.380 0.146 0.250 Cr
0.108 0.970 0.750 Si
0.608 0.530 0.250 Si
0.392 0.470 0.750 Si
0.892 0.030 0.250 Si
0.642 0.175 0.983 Si
0.142 0.325 0.017 Si
0.858 0.675 0.517 Si
0.358 0.825 0.483 Si
0.358 0.825 0.017 Si
0.858 0.675 0.983 Si
0.142 0.325 0.483 Si
0.642 0.175 0.517 Si
```

Properties
Volume = 13.2 Å³/atom
ΔE_f (raw) = -0.4 eV per formula unit

Record 6
Computed, not measured: a geometry-optimized Cr3Si structure at the PBE-GGA level of DFT.

Cell and atoms, written as POSCAR:
```
Cr3Si
1.0
4.672 -0.001 -0.001
2.070 4.188 0.001
-2.989 -2.708 2.357
Cr Si
3 1
direct
0.991 0.991 0.000 Cr
0.750 0.250 0.500 Cr
0.509 0.509 0.000 Cr
0.250 0.750 0.500 Si
```

Properties
Volume = 11.5 Å³/atom
Energy above the lowest structure with this stoichiometry = 0.140 eV per atom
ΔE_f (raw) = -0.9 eV per formula unit

Record 7
Computed, not measured: a geometry-optimized CrSi structure at the PBE-GGA level of DFT.

Cell and atoms, written as POSCAR:
```
CrSi
1.0
4.263 -0.008 -0.005
3.441 2.516 -0.005
3.441 1.120 2.253
Cr Si
1 1
direct
0.000 0.000 0.000 Cr
0.500 0.500 0.500 Si
```

Properties
Volume = 12.1 Å³/atom
ΔE_f (raw) = 0.0 eV per formula unit

Record 8
Computed, not measured: a geometry-optimized CrSi2 structure at the PBE-GGA level of DFT.

Cell and atoms, written as POSCAR:
```
CrSi2
1.0
-3.550 5.622 0.375
1.070 -3.633 5.478
2.515 1.552 0.538
Cr Si
3 6
direct
0.333 0.667 0.000 Cr
0.667 0.333 0.000 Cr
0.000 0.000 0.500 Cr
0.273 0.000 0.000 Si
0.000 0.273 0.000 Si
0.727 0.727 0.000 Si
0.632 0.000 0.500 Si
0.000 0.632 0.500 Si
0.368 0.368 0.500 Si
```

Properties
Volume = 12.8 Å³/atom
ΔE_f (raw) = 0.0 eV per formula unit

Record 9
Computed, not measured: a geometry-optimized CrSi3 structure at the PBE-GGA level of DFT.

Cell and atoms, written as POSCAR:
```
CrSi3
1.0
-2.754 1.484 0.511
-0.133 -1.248 2.911
2.457 3.940 1.801
Cr Si
1 3
direct
0.000 0.000 0.000 Cr
0.500 0.500 0.246 Si
0.000 0.000 0.500 Si
0.500 0.500 0.754 Si
```

Properties
Volume = 12.5 Å³/atom
ΔE_f (raw) = 0.3 eV per formula unit

Record 10
Computed, not measured: a geometry-optimized CrSi structure at the PBE-GGA level of DFT.

Cell and atoms, written as POSCAR:
```
CrSi
1.0
-0.739 -2.089 1.675
-0.990 0.118 -2.593
2.863 -1.961 -1.183
Cr Si
1 1
direct
0.667 0.333 0.000 Cr
0.000 0.000 0.500 Si
```

Properties
Volume = 12.2 Å³/atom
ΔE_f (raw) = -0.3 eV per formula unit

Record 11
Computed, not measured: a geometry-optimized Cr3Si structure at the PBE-GGA level of DFT.

Cell and atoms, written as POSCAR:
```
Cr3Si
1.0
2.533 0.003 0.000
-0.810 2.400 0.000
0.000 0.000 7.740
Cr Si
3 1
direct
0.000 0.000 0.002 Cr
0.500 0.500 0.750 Cr
0.000 0.000 0.498 Cr
0.500 0.500 0.250 Si
```

Properties
Volume = 11.8 Å³/atom
Energy above the lowest structure with this stoichiometry = 0.346 eV per atom
ΔE_f (raw) = -0.1 eV per formula unit

Record 12
Computed, not measured: a geometry-optimized Cr4Si structure at the PBE-GGA level of DFT.

Cell and atoms, written as POSCAR:
```
Cr4Si
1.0
-1.930 -1.738 3.738
-2.964 2.741 -2.103
1.193 -3.382 -2.804
Cr Si
4 1
direct
0.000 0.500 0.000 Cr
0.000 0.000 0.500 Cr
0.500 0.500 0.500 Cr
0.500 0.000 0.000 Cr
0.000 0.000 0.000 Si
```

Properties
Volume = 14.5 Å³/atom
Energy above the lowest structure with this stoichiometry = 0.479 eV per atom
ΔE_f (raw) = 5.5 eV per formula unit